First-principles (PBE) data for an optimized crystal structure of LiNbCuPd, as listed in the Alexandria database.

Output
- Magnetic moment: 0.00 μB/cell
- Energy: -21.44 eV per cell
- Energy relative to the elements: -0.041 eV/atom

Structure (CIF):
```
data_LiNbCuPd
_cell_length_a 4.3894
_cell_length_b 4.3894
_cell_length_c 4.3894
_cell_angle_alpha 60.00
_cell_angle_beta 60.00
_cell_angle_gamma 60.00
_symmetry_space_group_name_H-M 'P 1'
_symmetry_Int_Tables_number 1
_symmetry_space_group_name_Hall 'P 1'
loop_
_atom_site_label
_atom_site_type_symbol
_atom_site_fract_x
_atom_site_fract_y
_atom_site_fract_z
Li1 Li 0.5000 0.5000 0.5000
Nb1 Nb 0.0000 0.0000 0.0000
Cu1 Cu 0.2500 0.2500 0.2500
Pd1 Pd 0.7500 0.7500 0.7500
```